Record 1
# NdMg2AlZn2

Crystalline NdMg2AlZn2 at its relaxed geometry (PBE-GGA, Alexandria).

Cell lengths 6.613, 6.613, 6.613 Å; angles 134.81, 134.81, 65.83 degrees
Sites, in units of the cell vectors:
Nd1 0.000 0.000 0.000
Mg1 0.250 0.750 0.500
Mg2 0.750 0.250 0.500
Al1 0.500 0.500 0.000
Zn1 0.283 0.283 0.000
Zn2 0.717 0.717 0.000

Results
Energy relative to the elements, meV per atom: 86
Space-group type: I4/mmm, No. 139
Crystal system: tetragonal
Volume, Å³/cell: 143.38

Record 2
# MgAl2Ni2

Crystalline MgAl2Ni2 at its relaxed geometry (PBE-GGA, Alexandria).

Cell lengths 6.944, 6.944, 2.874 Å; angles 90.00, 90.00, 90.00 degrees
Sites, in units of the cell vectors:
Mg1 0.000 0.000 0.000
Mg2 0.500 0.500 0.000
Al1 0.148 0.352 0.500
Al2 0.352 0.852 0.500
Al3 0.648 0.148 0.500
Al4 0.852 0.648 0.500
Ni1 0.145 0.645 0.000
Ni2 0.355 0.145 0.000
Ni3 0.645 0.855 0.000
Ni4 0.855 0.355 0.000

Results
Energy relative to the elements, meV per atom: -464
Space-group type: P4/mbm, No. 127
Crystal system: tetragonal
Volume, Å³/cell: 138.58
Excess energy over the best structure of this formula in the dataset, meV per atom: 0.0

Record 3
# Mg2Al3Ni2

Crystalline Mg2Al3Ni2 at its relaxed geometry (PBE-GGA, Alexandria).

Cell lengths 5.021, 5.021, 6.614 Å; angles 111.59, 111.59, 46.16 degrees
Sites, in units of the cell vectors:
Mg1 0.151 0.151 0.293
Mg2 0.849 0.849 0.707
Al1 0.361 0.361 0.054
Al2 0.500 0.500 0.500
Al3 0.639 0.639 0.946
Ni1 0.129 0.129 0.701
Ni2 0.871 0.871 0.299

Results
Energy relative to the elements, meV per atom: -395
Space-group type: C2/m, No. 12
Crystal system: monoclinic
Volume, Å³/cell: 110.23

Record 4
# Mg6AlNi

Crystalline Mg6AlNi at its relaxed geometry (PBE-GGA, Alexandria).

Cell lengths 4.910, 6.013, 6.013 Å; angles 60.32, 90.00, 90.00 degrees
Sites, in units of the cell vectors:
Mg1 0.000 0.000 0.000
Mg2 0.000 0.481 0.996
Mg3 0.000 0.495 0.495
Mg4 0.000 0.996 0.481
Mg5 0.500 0.160 0.660
Mg6 0.500 0.660 0.160
Al1 0.500 0.658 0.658
Ni1 0.500 0.158 0.158

Results
Energy relative to the elements, meV per atom: 10
Space-group type: Amm2, No. 38
Crystal system: orthorhombic
Volume, Å³/cell: 154.25
Excess energy over the best structure of this formula in the dataset, meV per atom: 6.6

Record 5
# MgAl2Ni

Crystalline MgAl2Ni at its relaxed geometry (PBE-GGA, Alexandria).

Cell lengths 2.905, 2.905, 7.373 Å; angles 90.00, 90.00, 90.00 degrees
Sites, in units of the cell vectors:
Mg1 0.000 0.000 0.000
Al1 0.000 0.000 0.419
Al2 0.500 0.500 0.691
Ni1 0.500 0.500 0.239

Results
Energy relative to the elements, meV per atom: -212
Space-group type: P4mm, No. 99
Crystal system: tetragonal
Volume, Å³/cell: 62.22

Record 6
# MgAl4Ni15

Crystalline MgAl4Ni15 at its relaxed geometry (PBE-GGA, Alexandria).

Cell lengths 3.578, 3.578, 17.942 Å; angles 90.00, 90.00, 90.00 degrees
Sites, in units of the cell vectors:
Mg1 0.000 0.000 0.000
Al1 0.000 0.000 0.203
Al2 0.000 0.000 0.401
Al3 0.000 0.000 0.599
Al4 0.000 0.000 0.797
Ni1 0.000 0.500 0.105
Ni2 0.000 0.500 0.302
Ni3 0.000 0.500 0.500
Ni4 0.000 0.500 0.698
Ni5 0.000 0.500 0.895
Ni6 0.500 0.000 0.105
Ni7 0.500 0.000 0.302
Ni8 0.500 0.000 0.500
Ni9 0.500 0.000 0.698
Ni10 0.500 0.000 0.895
Ni11 0.500 0.500 0.000
Ni12 0.500 0.500 0.203
Ni13 0.500 0.500 0.401
Ni14 0.500 0.500 0.599
Ni15 0.500 0.500 0.797

Results
Energy relative to the elements, meV per atom: -357
Space-group type: P4/mmm, No. 123
Crystal system: tetragonal
Volume, Å³/cell: 229.66

Record 7
# MgAl2Ni

Crystalline MgAl2Ni at its relaxed geometry (PBE-GGA, Alexandria).

Cell lengths 2.979, 4.179, 5.221 Å; angles 90.00, 106.18, 90.00 degrees
Sites, in units of the cell vectors:
Mg1 0.000 0.000 0.000
Al1 0.331 0.500 0.672
Al2 0.726 0.000 0.459
Ni1 0.603 0.500 0.217

Results
Energy relative to the elements, meV per atom: -160
Space-group type: Pm, No. 6
Crystal system: monoclinic
Volume, Å³/cell: 62.43

Record 8
# MgAl2Ni

Crystalline MgAl2Ni at its relaxed geometry (PBE-GGA, Alexandria).

Cell lengths 6.981, 6.981, 6.981 Å; angles 29.54, 29.54, 29.54 degrees
Sites, in units of the cell vectors:
Mg1 0.000 0.000 0.000
Al1 0.229 0.229 0.229
Al2 0.443 0.443 0.443
Ni1 0.839 0.839 0.839

Results
Energy relative to the elements, meV per atom: 1
Space-group type: R3m, No. 160
Crystal system: trigonal
Volume, Å³/cell: 73.21

Record 9
# Mg2Al9Ni3

Crystalline Mg2Al9Ni3 at its relaxed geometry (PBE-GGA, Alexandria).

Cell lengths 7.361, 7.361, 10.210 Å; angles 111.77, 111.77, 58.86 degrees
Sites, in units of the cell vectors:
Mg1 0.100 0.252 0.247
Mg2 0.252 0.100 0.747
Mg3 0.748 0.900 0.253
Mg4 0.900 0.748 0.753
Al1 0.015 0.870 0.079
Al2 0.130 0.985 0.421
Al3 0.186 0.362 0.570
Al4 0.209 0.579 0.250
Al5 0.307 0.488 0.944
Al6 0.345 0.655 0.750
Al7 0.362 0.186 0.070
Al8 0.421 0.791 0.250
Al9 0.488 0.307 0.444
Al10 0.512 0.693 0.556
Al11 0.579 0.209 0.750
Al12 0.638 0.814 0.930
Al13 0.655 0.345 0.250
Al14 0.693 0.512 0.056
Al15 0.791 0.421 0.750
Al16 0.814 0.638 0.430
Al17 0.870 0.015 0.579
Al18 0.985 0.130 0.921
Ni1 0.000 0.500 0.000
Ni2 0.159 0.665 0.493
Ni3 0.335 0.841 0.007
Ni4 0.500 0.000 0.500
Ni5 0.665 0.159 0.993
Ni6 0.841 0.335 0.507

Results
Energy relative to the elements, meV per atom: -331
Space-group type: C2/c, No. 15
Crystal system: monoclinic
Volume, Å³/cell: 428.44

Record 10
# MgAl2Ni

Crystalline MgAl2Ni at its relaxed geometry (PBE-GGA, Alexandria).

Cell lengths 5.564, 5.564, 5.564 Å; angles 150.99, 130.76, 58.17 degrees
Sites, in units of the cell vectors:
Mg1 0.000 0.000 0.000
Al1 0.293 0.793 0.500
Al2 0.707 0.207 0.500
Ni1 0.500 0.500 0.000

Results
Energy relative to the elements, meV per atom: -221
Space-group type: Immm, No. 71
Crystal system: orthorhombic
Volume, Å³/cell: 62.85

Record 11
# Mg2AlNi

Crystalline Mg2AlNi at its relaxed geometry (PBE-GGA, Alexandria).

Cell lengths 5.509, 5.509, 4.690 Å; angles 114.91, 114.91, 31.62 degrees
Sites, in units of the cell vectors:
Mg1 0.000 0.000 0.000
Mg2 0.205 0.205 0.704
Al1 0.784 0.784 0.283
Ni1 0.478 0.478 0.479

Results
Energy relative to the elements, meV per atom: -154
Space-group type: Cm, No. 8
Crystal system: monoclinic
Volume, Å³/cell: 67.09

Record 12
# MgAl2Ni

Crystalline MgAl2Ni at its relaxed geometry (PBE-GGA, Alexandria).

Cell lengths 3.893, 3.893, 3.977 Å; angles 90.00, 90.00, 90.00 degrees
Sites, in units of the cell vectors:
Mg1 0.000 0.000 0.000
Al1 0.000 0.500 0.500
Al2 0.500 0.000 0.500
Ni1 0.500 0.500 0.000

Results
Energy relative to the elements, meV per atom: -164
Space-group type: P4/mmm, No. 123
Crystal system: tetragonal
Volume, Å³/cell: 60.28

Record 13
# MgAl2Ni

Crystalline MgAl2Ni at its relaxed geometry (PBE-GGA, Alexandria).

Cell lengths 4.816, 4.816, 4.816 Å; angles 132.05, 132.05, 70.15 degrees
Sites, in units of the cell vectors:
Mg1 0.000 0.000 0.000
Al1 0.500 0.500 0.000
Al2 0.750 0.250 0.500
Ni1 0.250 0.750 0.500

Results
Energy relative to the elements, meV per atom: -153
Space-group type: I-4m2, No. 119
Crystal system: tetragonal
Volume, Å³/cell: 60.36

Record 14
# Mg2AlNi

Crystalline Mg2AlNi at its relaxed geometry (PBE-GGA, Alexandria).

Cell lengths 6.424, 6.424, 6.424 Å; angles 97.80, 97.80, 136.76 degrees
Sites, in units of the cell vectors:
Mg1 0.007 0.625 0.882
Mg2 0.375 0.257 0.382
Mg3 0.743 0.125 0.118
Mg4 0.875 0.993 0.618
Al1 0.250 0.750 0.500
Al2 0.500 0.500 0.000
Ni1 0.000 0.000 0.000
Ni2 0.750 0.250 0.500

Results
Energy relative to the elements, meV per atom: 134
Space-group type: I-42d, No. 122
Crystal system: tetragonal
Volume, Å³/cell: 168.84

Record 15
# Mg2AlNi

Crystalline Mg2AlNi at its relaxed geometry (PBE-GGA, Alexandria).

Cell lengths 4.469, 4.469, 4.469 Å; angles 60.00, 60.00, 60.00 degrees
Sites, in units of the cell vectors:
Mg1 0.000 0.000 0.000
Mg2 0.250 0.250 0.250
Al1 0.750 0.750 0.750
Ni1 0.500 0.500 0.500

Results
Energy relative to the elements, meV per atom: -126
Space-group type: F-43m, No. 216
Crystal system: cubic
Volume, Å³/cell: 63.09

Record 16
# Mg2AlNi

Crystalline Mg2AlNi at its relaxed geometry (PBE-GGA, Alexandria).

Cell lengths 2.994, 3.761, 5.848 Å; angles 90.00, 90.23, 90.00 degrees
Sites, in units of the cell vectors:
Mg1 0.002 0.000 0.269
Mg2 0.998 0.000 0.731
Al1 0.500 0.500 0.000
Ni1 0.500 0.500 0.500

Results
Energy relative to the elements, meV per atom: -52
Space-group type: P2/m, No. 10
Crystal system: monoclinic
Volume, Å³/cell: 65.83

Record 17
# Mg2Al12Ni7

Crystalline Mg2Al12Ni7 at its relaxed geometry (PBE-GGA, Alexandria).

Cell lengths 10.708, 10.708, 2.978 Å; angles 90.00, 90.00, 120.00 degrees
Sites, in units of the cell vectors:
Mg1 0.000 0.000 0.000
Mg2 0.333 0.667 0.500
Al1 0.052 0.786 0.500
Al2 0.113 0.403 0.000
Al3 0.214 0.266 0.500
Al4 0.290 0.887 0.000
Al5 0.401 0.234 0.000
Al6 0.516 0.101 0.500
Al7 0.585 0.484 0.500
Al8 0.597 0.710 0.000
Al9 0.734 0.948 0.500
Al10 0.766 0.167 0.000
Al11 0.833 0.599 0.000
Al12 0.899 0.415 0.500
Ni1 0.080 0.615 0.000
Ni2 0.241 0.043 0.500
Ni3 0.385 0.464 0.000
Ni4 0.536 0.920 0.000
Ni5 0.667 0.333 0.000
Ni6 0.803 0.759 0.500
Ni7 0.957 0.197 0.500

Results
Energy relative to the elements, meV per atom: -420
Space-group type: P-6, No. 174
Crystal system: hexagonal
Volume, Å³/cell: 295.76

Record 18
# Mg14AlNi

Crystalline Mg14AlNi at its relaxed geometry (PBE-GGA, Alexandria).

Cell lengths 6.203, 6.203, 10.084 Å; angles 90.00, 90.00, 120.00 degrees
Sites, in units of the cell vectors:
Mg1 0.000 0.000 0.248
Mg2 0.000 0.000 0.752
Mg3 0.011 0.505 0.261
Mg4 0.011 0.505 0.739
Mg5 0.330 0.165 0.500
Mg6 0.335 0.168 0.000
Mg7 0.495 0.505 0.261
Mg8 0.495 0.505 0.739
Mg9 0.495 0.989 0.261
Mg10 0.495 0.989 0.739
Mg11 0.832 0.168 0.000
Mg12 0.832 0.665 0.000
Mg13 0.835 0.165 0.500
Mg14 0.835 0.670 0.500
Al1 0.333 0.667 0.000
Ni1 0.333 0.667 0.500

Results
Energy relative to the elements, meV per atom: 15
Space-group type: P-6m2, No. 187
Crystal system: hexagonal
Volume, Å³/cell: 336.02
Excess energy over the best structure of this formula in the dataset, meV per atom: 3.5

Record 19
# Mg2AlNi

Crystalline Mg2AlNi at its relaxed geometry (PBE-GGA, Alexandria).

Cell lengths 3.966, 3.966, 4.129 Å; angles 90.00, 90.00, 90.19 degrees
Sites, in units of the cell vectors:
Mg1 0.000 0.500 0.000
Mg2 0.500 0.000 0.000
Al1 0.000 0.000 0.500
Ni1 0.500 0.500 0.500

Results
Energy relative to the elements, meV per atom: -80
Space-group type: Cmmm, No. 65
Crystal system: orthorhombic
Volume, Å³/cell: 64.95

Record 20
# MgAl6Ni

Crystalline MgAl6Ni at its relaxed geometry (PBE-GGA, Alexandria).

Cell lengths 5.529, 5.529, 5.529 Å; angles 107.91, 107.91, 107.91 degrees
Sites, in units of the cell vectors:
Mg1 0.000 0.000 0.000
Al1 0.232 0.232 0.680
Al2 0.232 0.680 0.232
Al3 0.320 0.768 0.768
Al4 0.680 0.232 0.232
Al5 0.768 0.320 0.768
Al6 0.768 0.768 0.320
Ni1 0.500 0.500 0.500

Results
Energy relative to the elements, meV per atom: -34
Space-group type: R-3m, No. 166
Crystal system: trigonal
Volume, Å³/cell: 137.09